1.
A plane-wave DFT calculation with PBE-GGA was carried out for a geometry-optimized PrYHg structure.

Values from the calculation:
As for the energy above the most stable polymorph in this dataset: 0.0000 eV/atom. The symmetry is No. 216.

POSCAR file:
```
PrYHg
1.0
0.000 3.676 3.676
3.676 0.000 3.676
3.676 3.676 0.000
Pr Y Hg
1 1 1
Direct
0.000 0.000 0.000
0.500 0.500 0.500
0.250 0.250 0.250
```

2.
A plane-wave DFT calculation with PBE-GGA was carried out for a geometry-optimized Pr2ZnHg structure.

Values from the calculation:
The symmetry is No. 123.

POSCAR file:
```
Pr2ZnHg
1.0
3.771 0.000 0.000
0.000 3.771 0.000
0.000 0.000 7.592
Pr Zn Hg
2 1 1
Direct
0.000 0.000 0.233
0.000 0.000 0.767
0.500 0.500 0.000
0.500 0.500 0.500
```

3.
A plane-wave DFT calculation with PBE-GGA was carried out for a geometry-optimized PrZnHg structure.

Values from the calculation:
The symmetry is No. 216.

POSCAR file:
```
PrZnHg
1.0
0.000 3.556 3.556
3.556 0.000 3.556
3.556 3.556 0.000
Pr Zn Hg
1 1 1
Direct
0.000 0.000 0.000
0.250 0.250 0.250
0.750 0.750 0.750
```

Calculated values (meV per atom) of ΔH_f (0 K) for the records, taken in order: -110, -399, -5.